No. 1
! CePmCl6 (GGA-PBE, optimized geometry); values from VASP
&SYSTEM
  ibrav = 0, nat = 8, ntyp = 3
/
ATOMIC_SPECIES
Cl 35.45 Cl.upf
Ce 140.12 Ce.upf
Pm 145.00 Pm.upf
CELL_PARAMETERS angstrom
-3.704 -4.246 -4.189
7.019 -0.183 0.041
-1.015 -3.463 5.900
ATOMIC_POSITIONS crystal
Cl 0.402 0.108 0.251
Cl 0.249 0.249 0.745
Cl 0.892 0.598 0.749
Ce 0.000 0.000 0.000
Cl 0.108 0.402 0.251
Cl 0.598 0.892 0.749
Cl 0.751 0.751 0.255
Pm 0.500 0.500 0.500
! formation energy (no corrections)	-17.6	eV/f.u.
! space group	No. 12
! E above lowest polymorph	3	meV per atom

=====

No. 2
! Ce2PmCl8 (GGA-PBE, optimized geometry); values from VASP
&SYSTEM
  ibrav = 0, nat = 11, ntyp = 3
/
ATOMIC_SPECIES
Cl 35.45 Cl.upf
Pm 145.00 Pm.upf
Ce 140.12 Ce.upf
CELL_PARAMETERS angstrom
4.915 0.000 0.000
-2.457 7.728 -1.411
0.000 0.036 8.650
ATOMIC_POSITIONS crystal
Cl 0.186 0.373 0.553
Cl 0.814 0.627 0.447
Pm 0.500 0.000 0.000
Ce 0.739 0.479 0.735
Ce 0.261 0.521 0.265
Cl 0.073 0.146 0.152
Cl 0.560 0.120 0.721
Cl 0.440 0.880 0.279
Cl 0.302 0.604 0.924
Cl 0.698 0.396 0.076
Cl 0.927 0.854 0.848
! formation energy (no corrections)	-23.4	eV/f.u.
! space group	No. 12
! E above lowest polymorph	0	meV per atom

=====

No. 3
! CePm2Cl (GGA-PBE, optimized geometry); values from VASP
&SYSTEM
  ibrav = 0, nat = 4, ntyp = 3
/
ATOMIC_SPECIES
Ce 140.12 Ce.upf
Pm 145.00 Pm.upf
Cl 35.45 Cl.upf
CELL_PARAMETERS angstrom
3.658 0.000 0.000
1.829 3.168 0.000
1.829 1.056 10.063
ATOMIC_POSITIONS crystal
Ce 0.500 0.500 0.500
Pm 0.260 0.260 0.221
Pm 0.740 0.740 0.779
Cl 0.000 0.000 0.000
! formation energy (no corrections)	-2.6	eV/f.u.
! space group	No. 166

=====

No. 4
! CePmCl6 (GGA-PBE, optimized geometry); values from VASP
&SYSTEM
  ibrav = 0, nat = 8, ntyp = 3
/
ATOMIC_SPECIES
Cl 35.45 Cl.upf
Pm 145.00 Pm.upf
Ce 140.12 Ce.upf
CELL_PARAMETERS angstrom
-3.706 5.560 -1.890
-6.399 0.932 2.532
-0.952 5.439 5.113
ATOMIC_POSITIONS crystal
Cl 0.101 0.395 0.752
Pm 0.000 0.000 0.000
Cl 0.899 0.605 0.248
Ce 0.500 0.500 0.500
Cl 0.605 0.248 0.248
Cl 0.395 0.752 0.752
Cl 0.248 0.899 0.248
Cl 0.752 0.101 0.752
! formation energy (no corrections)	-17.7	eV/f.u.
! space group	No. 148
! E above lowest polymorph	0	meV per atom

=====

No. 5
! Ce3PmCl (GGA-PBE, optimized geometry); values from VASP
&SYSTEM
  ibrav = 0, nat = 5, ntyp = 3
/
ATOMIC_SPECIES
Ce 140.12 Ce.upf
Pm 145.00 Pm.upf
Cl 35.45 Cl.upf
CELL_PARAMETERS angstrom
5.366 0.000 0.000
0.000 5.366 0.000
0.000 0.000 5.366
ATOMIC_POSITIONS crystal
Ce 0.500 0.000 0.000
Ce 0.000 0.500 0.000
Pm 0.500 0.500 0.500
Ce 0.000 0.000 0.500
Cl 0.000 0.000 0.000
! formation energy (no corrections)	-1.8	eV/f.u.
! space group	No. 221

=====

No. 6
! CePmSbCl (GGA-PBE, optimized geometry); values from VASP
&SYSTEM
  ibrav = 0, nat = 4, ntyp = 4
/
ATOMIC_SPECIES
Sb 121.76 Sb.upf
Pm 145.00 Pm.upf
Cl 35.45 Cl.upf
Ce 140.12 Ce.upf
CELL_PARAMETERS angstrom
-3.427 -2.122 3.479
1.240 -4.510 2.545
1.092 0.097 5.210
ATOMIC_POSITIONS crystal
Sb 0.000 0.000 0.000
Pm 0.250 0.250 0.250
Cl 0.500 0.500 0.500
Ce 0.750 0.750 0.750
! formation energy (no corrections)	-4.6	eV/f.u.
! space group	No. 216

=====

No. 7
! CePmSe2Cl (GGA-PBE, optimized geometry); values from VASP
&SYSTEM
  ibrav = 0, nat = 10, ntyp = 4
/
ATOMIC_SPECIES
Ce 140.12 Ce.upf
Se 78.96 Se.upf
Pm 145.00 Pm.upf
Cl 35.45 Cl.upf
CELL_PARAMETERS angstrom
-0.384 1.800 -3.806
-3.765 -1.858 -0.499
-6.286 11.149 5.907
ATOMIC_POSITIONS crystal
Ce 0.500 0.000 0.094
Se 0.000 0.500 0.698
Se 0.500 0.000 0.878
Pm 0.000 0.500 0.355
Pm 0.500 0.000 0.645
Se 0.500 0.000 0.302
Cl 0.000 0.000 0.500
Se 0.000 0.500 0.122
Ce 0.000 0.500 0.906
Cl 0.500 0.500 0.500
! formation energy (no corrections)	-9.4	eV/f.u.
! space group	No. 129

=====

No. 8
! CePmSnCl (GGA-PBE, optimized geometry); values from VASP
&SYSTEM
  ibrav = 0, nat = 4, ntyp = 4
/
ATOMIC_SPECIES
Ce 140.12 Ce.upf
Pm 145.00 Pm.upf
Sn 118.71 Sn.upf
Cl 35.45 Cl.upf
CELL_PARAMETERS angstrom
5.348 0.000 0.000
2.674 4.631 0.000
2.674 1.544 4.366
ATOMIC_POSITIONS crystal
Ce 0.500 0.500 0.500
Pm 0.000 0.000 0.000
Sn 0.250 0.250 0.250
Cl 0.750 0.750 0.750
! formation energy (no corrections)	-3.7	eV/f.u.
! space group	No. 216

=====

No. 9
! Ce4Pm2Sn3Cl2 (GGA-PBE, optimized geometry); values from VASP
&SYSTEM
  ibrav = 0, nat = 11, ntyp = 4
/
ATOMIC_SPECIES
Cl 35.45 Cl.upf
Sn 118.71 Sn.upf
Ce 140.12 Ce.upf
Pm 145.00 Pm.upf
CELL_PARAMETERS angstrom
-0.260 3.073 -4.272
-2.385 -3.881 -2.647
-9.474 4.555 7.102
ATOMIC_POSITIONS crystal
Cl 0.423 0.423 0.846
Sn 0.829 0.829 0.658
Ce 0.914 0.414 0.829
Pm 0.698 0.698 0.397
Sn 0.000 0.000 0.000
Sn 0.171 0.171 0.342
Ce 0.086 0.586 0.171
Cl 0.577 0.577 0.154
Pm 0.302 0.302 0.603
Ce 0.414 0.914 0.829
Ce 0.586 0.086 0.171
! formation energy (no corrections)	-8.1	eV/f.u.
! space group	No. 139

=====

No. 10
! CePmTeCl (GGA-PBE, optimized geometry); values from VASP
&SYSTEM
  ibrav = 0, nat = 4, ntyp = 4
/
ATOMIC_SPECIES
Cl 35.45 Cl.upf
Ce 140.12 Ce.upf
Te 127.60 Te.upf
Pm 145.00 Pm.upf
CELL_PARAMETERS angstrom
-3.981 -2.889 1.952
0.632 -5.196 0.772
0.293 -1.928 4.919
ATOMIC_POSITIONS crystal
Cl 0.750 0.750 0.750
Ce 0.500 0.500 0.500
Te 0.250 0.250 0.250
Pm 0.000 0.000 0.000
! formation energy (no corrections)	-4.9	eV/f.u.
! space group	No. 216

=====

No. 11
! CePr2Cl8 (GGA-PBE, optimized geometry); values from VASP
&SYSTEM
  ibrav = 0, nat = 11, ntyp = 3
/
ATOMIC_SPECIES
Pr 140.91 Pr.upf
Cl 35.45 Cl.upf
Ce 140.12 Ce.upf
CELL_PARAMETERS angstrom
5.463 -0.102 -0.153
-1.044 7.562 -0.018
-1.044 -2.929 6.971
ATOMIC_POSITIONS crystal
Pr 0.000 0.682 0.318
Cl 0.083 0.064 0.321
Ce 0.500 0.000 0.000
Cl 0.083 0.321 0.064
Cl 0.917 0.936 0.679
Cl 0.320 0.635 0.635
Pr 0.000 0.318 0.682
Cl 0.500 0.766 0.234
Cl 0.500 0.234 0.766
Cl 0.680 0.365 0.365
Cl 0.917 0.679 0.936
! formation energy (no corrections)	-23.1	eV/f.u.
! space group	No. 12

=====

No. 12
! CePr3Cl (GGA-PBE, optimized geometry); values from VASP
&SYSTEM
  ibrav = 0, nat = 5, ntyp = 3
/
ATOMIC_SPECIES
Pr 140.91 Pr.upf
Ce 140.12 Ce.upf
Cl 35.45 Cl.upf
CELL_PARAMETERS angstrom
5.535 0.000 0.000
0.000 5.535 0.000
0.000 0.000 5.535
ATOMIC_POSITIONS crystal
Pr 0.000 0.500 0.000
Ce 0.500 0.500 0.500
Cl 0.000 0.000 0.000
Pr 0.000 0.000 0.500
Pr 0.500 0.000 0.000
! formation energy (no corrections)	-2.0	eV/f.u.
! space group	No. 221